MnMoIr2 SCAN single point on PBEsol structure; formation energy = -1.579 eV/f.u.; theoretical density = 16.30 g/cm³; energy relative to the lowest polymorph listed for this composition = 1.6 meV per atom; total moment = 2.97 μB/cell; total energy = -196.9 eV/f.u.
1.0
2.695 0.000 0.000
0.000 3.760 0.000
0.000 0.000 5.382
Mn Mo Ir
1 1 2
Cartesian
0.000 0.000 0.000 Mn
0.000 0.000 2.691 Mo
1.348 1.880 1.298 Ir
1.348 1.880 4.084 Ir